Entry 1:
Below is crystalline NaHoIn2Cl6 at its relaxed geometry, with properties calculated at the PBE level.

Unit cell a=7.5403 b=7.5400 c=7.5946 alpha=60.23 beta=60.23 gamma=59.99
Fractional positions:
Ho1 0.3198 0.3198 0.0406
Cl1 0.1499 0.0091 0.2663
Cl2 0.4794 0.6414 0.7790
Cl3 0.0091 0.5749 0.2662
Cl4 0.6414 0.1001 0.7791
Cl5 0.1003 0.4794 0.7790
Cl6 0.5748 0.1499 0.2662
Na1 0.8148 0.8149 0.5554
In1 0.0337 0.0337 0.8991
In2 0.5385 0.5385 0.3844

Calculated values
Energy relative to the elements, uncorrected, eV/atom: -1.619


Entry 2:
Below is crystalline HoInPbCl6 at its relaxed geometry, with properties calculated at the PBE level.

Unit cell a=7.3181 b=7.3181 c=13.4254 alpha=90.00 beta=90.00 gamma=120.00
Fractional positions:
Cl1 0.3524 0.9722 0.6369
Cl2 0.9722 0.3524 0.1369
Cl3 0.0278 0.3802 0.6369
Cl4 0.0278 0.6476 0.8631
Cl5 0.3802 0.3524 0.3631
Cl6 0.3802 0.0278 0.1369
Cl7 0.9722 0.6198 0.3631
Cl8 0.3524 0.3802 0.8631
Cl9 0.6476 0.6198 0.1369
Cl10 0.6198 0.9722 0.8631
Cl11 0.6476 0.0278 0.3631
Cl12 0.6198 0.6476 0.6369
Ho1 0.3333 0.6667 0.7500
Ho2 0.6667 0.3333 0.2500
In1 0.0000 0.0000 0.5000
In2 0.0000 0.0000 0.0000
Pb1 0.3333 0.6667 0.2500
Pb2 0.6667 0.3333 0.7500

Calculated values
Energy relative to the elements, uncorrected, eV/atom: -1.603


Entry 3:
Below is crystalline Rb2HoInCl6 at its relaxed geometry, with properties calculated at the PBE level.

Unit cell a=7.6888 b=8.1240 c=11.0361 alpha=90.00 beta=89.44 gamma=90.00
Fractional positions:
Cl1 0.7780 0.8216 0.5495
Cl2 0.3920 0.9604 0.7261
Cl3 0.7220 0.3216 0.9505
Cl4 0.1704 0.2289 0.0614
Cl5 0.8296 0.7711 0.9386
Cl6 0.2780 0.6784 0.0495
Cl7 0.6080 0.0396 0.2739
Cl8 0.6704 0.2711 0.5614
Cl9 0.2220 0.1784 0.4505
Cl10 0.8920 0.5396 0.2261
Cl11 0.3296 0.7289 0.4386
Cl12 0.1080 0.4604 0.7739
Ho1 0.5000 0.0000 0.5000
Ho2 0.0000 0.5000 0.0000
Rb1 0.9760 0.0691 0.7481
Rb2 0.0240 0.9309 0.2519
Rb3 0.4760 0.4309 0.2481
Rb4 0.5240 0.5691 0.7519
In1 0.5000 0.0000 0.0000
In2 0.0000 0.5000 0.5000

Calculated values
Energy relative to the elements, uncorrected, eV/atom: -1.908


Entry 4:
Below is crystalline HoInSn2Cl8 at its relaxed geometry, with properties calculated at the PBE level.

Unit cell a=6.8655 b=6.4637 c=8.9504 alpha=88.34 beta=86.67 gamma=88.18
Fractional positions:
Cl1 0.8231 0.2141 0.7900
Cl2 0.6898 0.7603 0.0349
Cl3 0.3590 0.2816 0.5397
Cl4 0.8591 0.2474 0.2141
Cl5 0.6410 0.7184 0.4603
Cl6 0.1409 0.7526 0.7859
Cl7 0.3102 0.2397 0.9651
Cl8 0.1769 0.7859 0.2100
Sn1 0.4858 0.4943 0.7503
Sn2 0.5142 0.5057 0.2497
Ho1 0.0000 0.0000 0.0000
In1 0.0000 0.0000 0.5000

Calculated values
Energy relative to the elements, uncorrected, eV/atom: -1.388


What is the energy relative to the elements, uncorrected in the third record? -1.908 eV/atom


The highest energy relative to the elements, uncorrected belongs to which entry? HoInSn2Cl8


Which of these has the highest energy relative to the elements, uncorrected? HoInSn2Cl8


The lowest energy relative to the elements, uncorrected belongs to which entry? Rb2HoInCl6